Entry from Alexandria via LeMat-Bulk: crystalline Pr8Te4AuS3 at its relaxed geometry (PBE-GGA).

Computed properties:
**SG**: No. 166
**Theoretical density**: 6.85 g cm⁻³
**VASP energy**: -5.73 eV/atom
**DOS at the Fermi energy**: 0.43 states/eV/atom

```
Pr8Te4AuS3
1.0
4.305 2.485 7.292
-4.305 2.485 7.292
0.000 -4.971 7.292
Pr Te Au S
8 4 1 3
Cartesian
-2.205 -1.273 12.548
0.000 0.000 5.167
0.000 -2.547 9.326
-2.205 1.273 9.326
2.205 -1.273 12.548
0.000 2.547 12.548
0.000 0.000 16.708
2.205 1.273 9.326
0.000 0.000 0.000
-2.152 -1.243 7.292
-2.152 1.243 14.583
0.000 2.485 7.292
0.000 0.000 10.937
-4.305 0.000 10.937
-2.152 1.243 3.646
2.152 1.243 3.646
```


Entry from Alexandria via LeMat-Bulk: crystalline KCd8In4 at its relaxed geometry (PBE-GGA).

Computed properties:
**SG**: No. 139
**Theoretical density**: 6.78 g cm⁻³
**Formation enthalpy at 0 K**: -0.002 eV/atom
**DOS at the Fermi energy**: 0.34 states/eV/atom

```
KCd8In4
1.0
-5.242 5.242 3.115
5.242 -5.242 3.115
5.242 5.242 -3.115
K Cd In
1 8 4
Cartesian
0.000 0.000 0.000
3.766 0.000 0.000
6.718 0.000 0.000
5.242 3.033 0.000
0.000 3.766 0.000
3.033 5.242 0.000
2.209 0.000 3.115
0.000 6.718 0.000
0.000 2.209 3.115
2.621 2.621 -1.558
2.621 -2.621 1.558
-2.621 2.621 1.558
2.621 2.621 1.558
```


Entry from Alexandria via LeMat-Bulk: crystalline ScNbOs2 at its relaxed geometry (PBE-GGA).

Computed properties:
**Energy above the most stable polymorph in this dataset**: 16 meV per atom
**SG**: No. 123
**Theoretical density**: 13.11 g cm⁻³
**Formation enthalpy at 0 K**: -0.422 eV/atom
**DOS at the Fermi energy**: 0.24 states/eV/atom

```
ScNbOs2
1.0
3.193 0.000 0.000
0.000 3.193 0.000
0.000 0.000 6.436
Sc Nb Os
1 1 2
Cartesian
0.000 0.000 0.000
0.000 0.000 3.218
1.597 1.597 1.662
1.597 1.597 4.774
```


Entry from Alexandria via LeMat-Bulk: crystalline CuIr2Cl at its relaxed geometry (PBE-GGA).

Computed properties:
**Energy above the most stable polymorph in this dataset**: 226 meV per atom
**SG**: No. 12
**Theoretical density**: 12.18 g cm⁻³
**DOS at the Fermi energy**: 0.59 states/eV/atom

```
CuIr2Cl
1.0
6.357 -1.380 0.000
6.357 1.380 0.000
-1.218 0.000 3.756
Cu Ir Cl
1 2 1
Cartesian
0.000 0.000 0.000
2.697 0.000 2.958
8.799 0.000 0.799
5.748 0.000 1.878
```


Entry from Alexandria via LeMat-Bulk: crystalline LiSi2Pd6 at its relaxed geometry (PBE-GGA).

Computed properties:
**SG**: No. 136
**Theoretical density**: 9.36 g cm⁻³
**VASP energy**: -5.45 eV/atom
**DOS at the Fermi energy**: 0.31 states/eV/atom

```
LiSi2Pd6
1.0
7.810 0.000 0.000
0.000 7.810 0.000
0.000 0.000 4.082
Li Si Pd
2 4 12
Cartesian
0.000 0.000 0.000
3.905 3.905 2.041
1.545 1.545 2.041
2.360 5.451 0.000
5.451 2.360 0.000
6.265 6.265 2.041
0.197 2.473 0.000
0.987 6.823 2.041
1.432 4.102 2.041
2.473 0.197 0.000
2.918 2.918 0.000
3.709 6.378 2.041
4.102 1.432 2.041
4.892 4.892 0.000
5.337 7.614 0.000
6.378 3.709 2.041
6.823 0.987 2.041
7.614 5.337 0.000
```


Entry from Alexandria via LeMat-Bulk: crystalline YZnOs at its relaxed geometry (PBE-GGA).

Computed properties:
**SG**: No. 187
**Theoretical density**: 9.77 g cm⁻³
**Formation enthalpy at 0 K**: -0.066 eV/atom
**DOS at the Fermi energy**: 0.56 states/eV/atom

```
YZnOs
1.0
4.378 0.000 0.000
-2.189 3.792 0.000
0.000 0.000 3.526
Y Zn Os
1 1 1
Cartesian
0.000 0.000 0.000
0.000 2.528 1.763
2.189 1.264 1.763
```


Entry from Alexandria via LeMat-Bulk: crystalline NdSm2In6 at its relaxed geometry (PBE-GGA).

Computed properties:
**Energy above the most stable polymorph in this dataset**: 0 meV per atom
**SG**: No. 191
**Theoretical density**: 7.86 g cm⁻³
**Formation enthalpy at 0 K**: -0.456 eV/atom
**DOS at the Fermi energy**: 0.35 states/eV/atom

```
NdSm2In6
1.0
8.661 0.000 0.000
-4.330 7.500 0.000
0.000 0.000 3.686
Nd Sm In
1 2 6
Cartesian
0.000 0.000 0.000
0.000 5.000 0.000
4.330 2.500 0.000
-1.446 2.505 1.843
-2.884 4.996 1.843
2.892 0.000 1.843
1.446 2.505 1.843
5.769 0.000 1.843
2.884 4.996 1.843
```


Entry from Alexandria via LeMat-Bulk: crystalline LiTm4Mg5 at its relaxed geometry (PBE-GGA).

Computed properties:
**SG**: No. 123
**Theoretical density**: 5.25 g cm⁻³
**Formation enthalpy at 0 K**: -0.050 eV/atom
**DOS at the Fermi energy**: 1.11 states/eV/atom

```
LiTm4Mg5
1.0
3.669 0.000 0.000
0.000 3.669 0.000
0.000 0.000 18.891
Li Tm Mg
1 4 5
Cartesian
0.000 0.000 0.000
0.000 0.000 3.711
0.000 0.000 7.508
0.000 0.000 11.384
0.000 0.000 15.181
1.835 1.835 1.646
1.835 1.835 5.605
1.835 1.835 9.446
1.835 1.835 13.286
1.835 1.835 17.245
```


Look up the DOS at the Fermi energy of the sixth one.
0.56 states/eV/atom


Among the records above, which one has the lowest theoretical density?
LiTm4Mg5


Repeat the sixth record exactly.
Entry from Alexandria via LeMat-Bulk: crystalline YZnOs at its relaxed geometry (PBE-GGA).

Computed properties:
**SG**: No. 187
**Theoretical density**: 9.77 g cm⁻³
**Formation enthalpy at 0 K**: -0.066 eV/atom
**DOS at the Fermi energy**: 0.56 states/eV/atom

```
YZnOs
1.0
4.378 0.000 0.000
-2.189 3.792 0.000
0.000 0.000 3.526
Y Zn Os
1 1 1
Cartesian
0.000 0.000 0.000
0.000 2.528 1.763
2.189 1.264 1.763
```


Repeat the fifth record exactly.
Entry from Alexandria via LeMat-Bulk: crystalline LiSi2Pd6 at its relaxed geometry (PBE-GGA).

Computed properties:
**SG**: No. 136
**Theoretical density**: 9.36 g cm⁻³
**VASP energy**: -5.45 eV/atom
**DOS at the Fermi energy**: 0.31 states/eV/atom

```
LiSi2Pd6
1.0
7.810 0.000 0.000
0.000 7.810 0.000
0.000 0.000 4.082
Li Si Pd
2 4 12
Cartesian
0.000 0.000 0.000
3.905 3.905 2.041
1.545 1.545 2.041
2.360 5.451 0.000
5.451 2.360 0.000
6.265 6.265 2.041
0.197 2.473 0.000
0.987 6.823 2.041
1.432 4.102 2.041
2.473 0.197 0.000
2.918 2.918 0.000
3.709 6.378 2.041
4.102 1.432 2.041
4.892 4.892 0.000
5.337 7.614 0.000
6.378 3.709 2.041
6.823 0.987 2.041
7.614 5.337 0.000
```